(P)
! PBE NaGaSb3, relaxed; values from VASP
! space group: No. 221
! V: 161 Å³ per cell
! density of states at the Fermi level: 0.72 states/eV per atom
&SYSTEM
  ibrav = 0, nat = 5, ntyp = 3
/
ATOMIC_SPECIES
Sb 121.76 Sb.upf
Na 22.99 Na.upf
Ga 69.72 Ga.upf
CELL_PARAMETERS angstrom
-0.191 4.282 3.349
-3.244 -2.778 3.368
4.362 -1.879 2.651
ATOMIC_POSITIONS crystal
Sb 0.000 0.500 0.000
Na 0.000 0.000 0.000
Sb 0.500 0.000 0.000
Sb 0.000 0.000 0.500
Ga 0.500 0.500 0.500

(Q)
! PBE NaGaSb3, relaxed; values from VASP
! space group: No. 221
! V: 160 Å³ per cell
! density of states at the Fermi level: 0.72 states/eV per atom
&SYSTEM
  ibrav = 0, nat = 5, ntyp = 3
/
ATOMIC_SPECIES
Sb 121.76 Sb.upf
Na 22.99 Na.upf
Ga 69.72 Ga.upf
CELL_PARAMETERS angstrom
5.423 0.000 0.000
0.000 5.423 0.000
0.000 0.000 5.423
ATOMIC_POSITIONS crystal
Sb 0.500 0.000 0.000
Na 0.500 0.500 0.500
Ga 0.000 0.000 0.000
Sb 0.000 0.500 0.000
Sb 0.000 0.000 0.500

Which of them is the least stable? Correct choice: (P).

(P)
! PBE Na3Ga2Sb4, relaxed; values from VASP
! space group: No. 12
! V: 259 Å³ per cell
! density of states at the Fermi level: 0.29 states/eV per atom
&SYSTEM
  ibrav = 0, nat = 9, ntyp = 3
/
ATOMIC_SPECIES
Ga 69.72 Ga.upf
Sb 121.76 Sb.upf
Na 22.99 Na.upf
CELL_PARAMETERS angstrom
-1.605 -1.457 -3.683
0.317 -5.557 4.540
-7.916 5.169 1.404
ATOMIC_POSITIONS crystal
Ga 0.713 0.426 0.356
Sb 0.300 0.600 0.943
Sb 0.700 0.400 0.057
Na 0.394 0.788 0.317
Ga 0.287 0.574 0.644
Na 0.000 0.000 0.000
Sb 0.903 0.806 0.615
Na 0.606 0.212 0.683
Sb 0.097 0.194 0.385

(Q)
! PBE Na3Ga2Sb4, relaxed; values from VASP
! space group: No. 12
! V: 261 Å³ per cell
! density of states at the Fermi level: 0.14 states/eV per atom
&SYSTEM
  ibrav = 0, nat = 9, ntyp = 3
/
ATOMIC_SPECIES
Na 22.99 Na.upf
Sb 121.76 Sb.upf
Ga 69.72 Ga.upf
CELL_PARAMETERS angstrom
-3.317 -2.033 -1.701
4.733 -5.172 -3.052
-1.303 -0.945 8.977
ATOMIC_POSITIONS crystal
Na 0.856 0.458 0.712
Na 0.144 0.542 0.288
Sb 0.207 0.190 0.413
Sb 0.793 0.810 0.587
Sb 0.505 0.686 0.009
Na 0.000 0.000 0.000
Ga 0.668 0.939 0.336
Ga 0.332 0.061 0.664
Sb 0.495 0.314 0.991

Which of them is the least stable? Correct choice: (P).

(P)
! PBE Na3GaSb3, relaxed; values from VASP
! space group: No. 12
! V: 418 Å³ per cell
! density of states at the Fermi level: 0.18 states/eV per atom
&SYSTEM
  ibrav = 0, nat = 14, ntyp = 3
/
ATOMIC_SPECIES
Sb 121.76 Sb.upf
Ga 69.72 Ga.upf
Na 22.99 Na.upf
CELL_PARAMETERS angstrom
6.526 1.379 0.433
-1.672 6.457 0.433
-0.344 -0.555 9.342
ATOMIC_POSITIONS crystal
Sb 0.483 0.080 0.273
Ga 0.836 0.836 0.884
Na 0.558 0.558 0.322
Sb 0.139 0.139 0.823
Sb 0.861 0.861 0.177
Sb 0.920 0.517 0.727
Na 0.180 0.820 0.500
Na 0.442 0.442 0.678
Ga 0.164 0.164 0.116
Sb 0.080 0.483 0.273
Sb 0.517 0.920 0.727
Na 0.713 0.287 0.000
Na 0.287 0.713 0.000
Na 0.820 0.180 0.500

(Q)
! PBE Na3GaSb3, relaxed; values from VASP
! space group: No. 12
! V: 400 Å³ per cell
! density of states at the Fermi level: 0.19 states/eV per atom
&SYSTEM
  ibrav = 0, nat = 14, ntyp = 3
/
ATOMIC_SPECIES
Na 22.99 Na.upf
Sb 121.76 Sb.upf
Ga 69.72 Ga.upf
CELL_PARAMETERS angstrom
4.855 0.000 0.731
2.367 5.888 0.769
0.364 0.491 14.066
ATOMIC_POSITIONS crystal
Na 0.603 0.711 0.082
Sb 0.112 0.850 0.926
Na 0.712 0.788 0.789
Na 0.288 0.212 0.211
Sb 0.847 0.736 0.570
Na 0.516 0.347 0.622
Na 0.484 0.653 0.378
Sb 0.007 0.221 0.765
Sb 0.888 0.150 0.074
Sb 0.153 0.264 0.430
Na 0.397 0.289 0.918
Ga 0.213 0.973 0.601
Sb 0.993 0.779 0.235
Ga 0.787 0.027 0.399

Which of them is the least stable? Correct choice: (P).

(P)
! PBE NaGaSbTe2, relaxed; values from VASP
! space group: No. 123
! V: 171 Å³ per cell
! density of states at the Fermi level: 1.10 states/eV per atom
&SYSTEM
  ibrav = 0, nat = 5, ntyp = 4
/
ATOMIC_SPECIES
Ga 69.72 Ga.upf
Na 22.99 Na.upf
Te 127.60 Te.upf
Sb 121.76 Sb.upf
CELL_PARAMETERS angstrom
5.641 0.000 0.000
0.000 5.641 0.000
0.000 0.000 5.370
ATOMIC_POSITIONS crystal
Ga 0.500 0.500 0.500
Na 0.000 0.000 0.000
Te 0.000 0.500 0.000
Sb 0.000 0.000 0.500
Te 0.500 0.000 0.000

(Q)
! PBE NaGaSbTe2, relaxed; values from VASP
! space group: No. 123
! V: 166 Å³ per cell
! density of states at the Fermi level: 0.79 states/eV per atom
&SYSTEM
  ibrav = 0, nat = 5, ntyp = 4
/
ATOMIC_SPECIES
Na 22.99 Na.upf
Te 127.60 Te.upf
Sb 121.76 Sb.upf
Ga 69.72 Ga.upf
CELL_PARAMETERS angstrom
5.654 0.000 0.000
0.000 5.654 0.000
0.000 0.000 5.208
ATOMIC_POSITIONS crystal
Na 0.500 0.500 0.500
Te 0.000 0.500 0.000
Sb 0.000 0.000 0.500
Te 0.500 0.000 0.000
Ga 0.000 0.000 0.000

Which of them is the least stable? Correct choice: (P).